<one>
# Pb5C3, relaxed, DFT PBE-GGA
data_Pb5C3
_chemical_formula_sum 'Pb10 C6'
_space_group_name_H-M_alt 'C m m m'
_space_group_IT_number 65
_space_group_name_Hall '-C 2 2'
_cell_length_a 8.084
_cell_length_b 11.356
_cell_length_c 3.962
_cell_angle_alpha 90.00
_cell_angle_beta 90.00
_cell_angle_gamma 90.00
loop_
_atom_site_label
_atom_site_fract_x
_atom_site_fract_y
_atom_site_fract_z
Pb1 0.000 0.000 0.000
Pb2 0.191 0.500 0.500
Pb3 0.250 0.250 0.000
C1 0.000 0.328 0.500
C2 0.000 0.500 0.000
# - M_tot (μB/f.u.) = 0.00

---

<two>
# Pb5C3, relaxed, DFT PBE-GGA
data_Pb5C3
_chemical_formula_sum 'Pb10 C6'
_space_group_name_H-M_alt 'P 63/m c m'
_space_group_IT_number 193
_space_group_name_Hall '-P 6c 2'
_cell_length_a 7.5298
_cell_length_b 7.5298
_cell_length_c 7.1110
_cell_angle_alpha 90.00
_cell_angle_beta 90.00
_cell_angle_gamma 120.00
loop_
_atom_site_label
_atom_site_fract_x
_atom_site_fract_y
_atom_site_fract_z
Pb1 0.0000 0.2581 0.2500
Pb2 0.3333 0.6667 0.0000
C1 0.0000 0.4105 0.7500
# - M_tot (μB/f.u.) = 0.00

---

If we sort the structures by their calculated energies, the order from most to least stable is <two>, <one>.

---

<one>
# PdPbC, relaxed, DFT PBE-GGA
data_PdPbC
_chemical_formula_sum 'Pd2 Pb2 C2'
_space_group_name_H-M_alt 'P 1'
_space_group_IT_number 1
_cell_length_a 4.523
_cell_length_b 5.201
_cell_length_c 5.780
_cell_angle_alpha 114.40
_cell_angle_beta 111.36
_cell_angle_gamma 93.74
loop_
_space_group_symop_operation_xyz
'x,y,z'
loop_
_atom_site_label
_atom_site_fract_x
_atom_site_fract_y
_atom_site_fract_z
Pd1 0.000 0.000 0.000
Pd2 0.489 0.659 0.996
Pb1 0.154 0.647 0.369
Pb2 0.778 0.277 0.627
C1 0.395 0.263 0.998
C2 0.559 0.064 0.998
# - M_tot (μB/f.u.) = 0.00

---

<two>
# PdPbC, relaxed, DFT PBE-GGA
data_PdPbC
_chemical_formula_sum 'Pd2 Pb2 C2'
_space_group_name_H-M_alt 'P 1 m 1'
_space_group_IT_number 6
_cell_length_a 5.328
_cell_length_b 4.000
_cell_length_c 5.711
_cell_angle_alpha 90.00
_cell_angle_beta 102.50
_cell_angle_gamma 90.00
loop_
_space_group_symop_operation_xyz
'x,y,z'
'x,-y,z'
loop_
_atom_site_label
_atom_site_fract_x
_atom_site_fract_y
_atom_site_fract_z
Pd1 0.000 0.000 0.000
Pd2 0.284 0.500 0.795
Pb1 0.345 0.000 0.447
Pb2 0.798 0.500 0.282
C1 0.659 0.500 0.799
C2 0.907 0.500 0.819
# - M_tot (μB/f.u.) = 0.00

---

<three>
# PdPbC, relaxed, DFT PBE-GGA
data_PdPbC
_chemical_formula_sum 'Pd4 Pb4 C4'
_space_group_name_H-M_alt 'C 1 2/m 1'
_space_group_IT_number 12
_cell_length_a 8.837
_cell_length_b 5.484
_cell_length_c 5.652
_cell_angle_alpha 90.00
_cell_angle_beta 119.95
_cell_angle_gamma 90.00
loop_
_space_group_symop_operation_xyz
'x,y,z'
'-x,-y,-z'
'-x,y,-z'
'x,-y,z'
'x+1/2,y+1/2,z'
'-x+1/2,-y+1/2,-z'
'-x+1/2,y+1/2,-z'
'x+1/2,-y+1/2,z'
loop_
_atom_site_label
_atom_site_fract_x
_atom_site_fract_y
_atom_site_fract_z
Pd1 0.250 0.250 0.000
Pb1 0.110 0.000 0.331
C1 0.072 0.500 0.995
# - M_tot (μB/f.u.) = 0.00

---

<four>
# PdPbC, relaxed, DFT PBE-GGA
data_PdPbC
_chemical_formula_sum 'Pd4 Pb4 C4'
_space_group_name_H-M_alt 'I m m m'
_space_group_IT_number 71
_space_group_name_Hall '-I 2 2'
_cell_length_a 4.008
_cell_length_b 5.772
_cell_length_c 9.345
_cell_angle_alpha 90.00
_cell_angle_beta 90.00
_cell_angle_gamma 90.00
loop_
_atom_site_label
_atom_site_fract_x
_atom_site_fract_y
_atom_site_fract_z
Pd1 0.000 0.246 0.000
Pb1 0.000 0.000 0.302
C1 0.000 0.385 0.500
# - M_tot (μB/f.u.) = 0.00

---

If we sort the structures by their calculated energies, the order from most to least stable is <three>, <one>, <four>, <two>.

---

<one>
# PdPbC, relaxed, DFT PBE-GGA
data_PdPbC
_chemical_formula_sum 'Pd4 Pb4 C4'
_space_group_name_H-M_alt 'C 1 m 1'
_space_group_IT_number 8
_cell_length_a 7.427
_cell_length_b 8.636
_cell_length_c 4.103
_cell_angle_alpha 90.00
_cell_angle_beta 119.92
_cell_angle_gamma 90.00
loop_
_space_group_symop_operation_xyz
'x,y,z'
'x,-y,z'
'x+1/2,y+1/2,z'
'x+1/2,-y+1/2,z'
loop_
_atom_site_label
_atom_site_fract_x
_atom_site_fract_y
_atom_site_fract_z
Pd1 0.000 0.000 0.000
Pd2 0.059 0.500 0.630
Pb1 0.279 0.300 0.323
C1 0.278 0.000 0.036
C2 0.437 0.000 0.986
# - M_tot (μB/f.u.) = 0.00

---

<two>
# PdPbC, relaxed, DFT PBE-GGA
data_PdPbC
_chemical_formula_sum 'Pd2 Pb2 C2'
_space_group_name_H-M_alt 'P 1'
_space_group_IT_number 1
_cell_length_a 4.065
_cell_length_b 4.460
_cell_length_c 6.837
_cell_angle_alpha 104.04
_cell_angle_beta 106.82
_cell_angle_gamma 90.47
loop_
_space_group_symop_operation_xyz
'x,y,z'
loop_
_atom_site_label
_atom_site_fract_x
_atom_site_fract_y
_atom_site_fract_z
Pd1 0.000 0.000 0.000
Pd2 0.137 0.616 0.270
Pb1 0.353 0.808 0.703
Pb2 0.668 0.170 0.350
C1 0.858 0.286 0.771
C2 0.956 0.524 0.936
# - M_tot (μB/f.u.) = 0.00

---

If we sort the structures by their calculated energies, the order from most to least stable is <two>, <one>.

---

<one>
# Pd2PbC, relaxed, DFT PBE-GGA
data_Pd2PbC
_chemical_formula_sum 'Pd8 Pb4 C4'
_space_group_name_H-M_alt 'I -4 2 d'
_space_group_IT_number 122
_space_group_name_Hall 'I -4 2bw'
_cell_length_a 5.291
_cell_length_b 5.291
_cell_length_c 11.200
_cell_angle_alpha 90.00
_cell_angle_beta 90.00
_cell_angle_gamma 90.00
loop_
_atom_site_label
_atom_site_fract_x
_atom_site_fract_y
_atom_site_fract_z
Pd1 0.112 0.250 0.125
Pb1 0.000 0.000 0.500
C1 0.000 0.000 0.000
# - M_tot (μB/f.u.) = 0.00

---

<two>
# Pd2PbC, relaxed, DFT PBE-GGA
data_Pd2PbC
_chemical_formula_sum 'Pd8 Pb4 C4'
_space_group_name_H-M_alt 'F m -3 m'
_space_group_IT_number 225
_space_group_name_Hall '-F 4 2 3'
_cell_length_a 6.378
_cell_length_b 6.378
_cell_length_c 6.378
_cell_angle_alpha 90.00
_cell_angle_beta 90.00
_cell_angle_gamma 90.00
loop_
_atom_site_label
_atom_site_fract_x
_atom_site_fract_y
_atom_site_fract_z
Pd1 0.250 0.250 0.250
Pb1 0.000 0.000 0.000
C1 0.000 0.000 0.500
# - M_tot (μB/f.u.) = 0.00

---

If we sort the structures by their calculated energies, the order from most to least stable is <one>, <two>.

---

<one>
# PdPb3C, relaxed, DFT PBE-GGA
data_PdPb3C
_chemical_formula_sum 'Pd1 Pb3 C1'
_space_group_name_H-M_alt 'P m -3 m'
_space_group_IT_number 221
_space_group_name_Hall '-P 4 2 3'
_cell_length_a 4.927
_cell_length_b 4.927
_cell_length_c 4.927
_cell_angle_alpha 90.00
_cell_angle_beta 90.00
_cell_angle_gamma 90.00
loop_
_atom_site_label
_atom_site_fract_x
_atom_site_fract_y
_atom_site_fract_z
Pd1 0.000 0.000 0.000
Pb1 0.000 0.500 0.500
C1 0.500 0.500 0.500
# - M_tot (μB/f.u.) = 0.00

---

<two>
# PdPb3C, relaxed, DFT PBE-GGA
data_PdPb3C
_chemical_formula_sum 'Pd1 Pb3 C1'
_space_group_name_H-M_alt 'P m -3 m'
_space_group_IT_number 221
_space_group_name_Hall '-P 4 2 3'
_cell_length_a 5.331
_cell_length_b 5.331
_cell_length_c 5.331
_cell_angle_alpha 90.00
_cell_angle_beta 90.00
_cell_angle_gamma 90.00
loop_
_atom_site_label
_atom_site_fract_x
_atom_site_fract_y
_atom_site_fract_z
Pd1 0.000 0.000 0.000
Pb1 0.000 0.000 0.500
C1 0.500 0.500 0.500
# - M_tot (μB/f.u.) = 1.05

---

If we sort the structures by their calculated energies, the order from most to least stable is <one>, <two>.

---

<one>
# Re2PdPbC, relaxed, DFT PBE-GGA
data_Re2PdPbC
_chemical_formula_sum 'Re2 Pd1 Pb1 C1'
_space_group_name_H-M_alt 'P 4/m m m'
_space_group_IT_number 123
_space_group_name_Hall '-P 4 2'
_cell_length_a 5.304
_cell_length_b 5.304
_cell_length_c 5.013
_cell_angle_alpha 90.00
_cell_angle_beta 90.00
_cell_angle_gamma 90.00
loop_
_atom_site_label
_atom_site_fract_x
_atom_site_fract_y
_atom_site_fract_z
Re1 0.000 0.500 0.000
Pd1 0.000 0.000 0.500
Pb1 0.000 0.000 0.000
C1 0.500 0.500 0.500
# - M_tot (μB/f.u.) = 5.90

---

<two>
# Re2PdPbC, relaxed, DFT PBE-GGA
data_Re2PdPbC
_chemical_formula_sum 'Re2 Pd1 Pb1 C1'
_space_group_name_H-M_alt 'P 4/m m m'
_space_group_IT_number 123
_space_group_name_Hall '-P 4 2'
_cell_length_a 4.031
_cell_length_b 4.031
_cell_length_c 5.140
_cell_angle_alpha 90.00
_cell_angle_beta 90.00
_cell_angle_gamma 90.00
loop_
_atom_site_label
_atom_site_fract_x
_atom_site_fract_y
_atom_site_fract_z
Re1 0.000 0.500 0.000
Pd1 0.000 0.000 0.500
Pb1 0.500 0.500 0.500
C1 0.500 0.500 0.000
# - M_tot (μB/f.u.) = 0.51

---

If we sort the structures by their calculated energies, the order from most to least stable is <two>, <one>.

---

<one>
# Pm4Pb2C, relaxed, DFT PBE-GGA
data_Pm4Pb2C
_chemical_formula_sum 'Pm8 Pb4 C2'
_space_group_name_H-M_alt 'I 4/m m m'
_space_group_IT_number 139
_space_group_name_Hall '-I 4 2'
_cell_length_a 4.991
_cell_length_b 4.991
_cell_length_c 16.586
_cell_angle_alpha 90.00
_cell_angle_beta 90.00
_cell_angle_gamma 90.00
loop_
_atom_site_label
_atom_site_fract_x
_atom_site_fract_y
_atom_site_fract_z
Pm1 0.000 0.000 0.160
Pm2 0.000 0.500 0.000
Pb1 0.000 0.000 0.359
C1 0.000 0.000 0.000
# - M_tot (μB/f.u.) = 0.00

---

<two>
# Pm4Pb2C, relaxed, DFT PBE-GGA
data_Pm4Pb2C
_chemical_formula_sum 'Pm8 Pb4 C2'
_space_group_name_H-M_alt 'P 1 21/m 1'
_space_group_IT_number 11
_cell_length_a 6.789
_cell_length_b 6.931
_cell_length_c 9.582
_cell_angle_alpha 90.00
_cell_angle_beta 110.26
_cell_angle_gamma 90.00
loop_
_space_group_symop_operation_xyz
'x,y,z'
'-x,-y,-z'
'-x,y+1/2,-z'
'x,-y+1/2,z'
loop_
_atom_site_label
_atom_site_fract_x
_atom_site_fract_y
_atom_site_fract_z
Pm1 0.173 0.250 0.060
Pm2 0.242 0.000 0.730
Pm3 0.277 0.750 0.347
Pb1 0.226 0.250 0.420
Pb2 0.346 0.750 0.035
C1 0.078 0.250 0.802
# - M_tot (μB/f.u.) = 0.00

---

If we sort the structures by their calculated energies, the order from most to least stable is <one>, <two>.

---

<one>
# Pr3PbC, relaxed, DFT PBE-GGA
data_Pr3PbC
_chemical_formula_sum 'Pr3 Pb1 C1'
_space_group_name_H-M_alt 'P m -3 m'
_space_group_IT_number 221
_space_group_name_Hall '-P 4 2 3'
_cell_length_a 5.185
_cell_length_b 5.185
_cell_length_c 5.185
_cell_angle_alpha 90.00
_cell_angle_beta 90.00
_cell_angle_gamma 90.00
loop_
_atom_site_label
_atom_site_fract_x
_atom_site_fract_y
_atom_site_fract_z
Pr1 0.000 0.000 0.500
Pb1 0.500 0.500 0.500
C1 0.000 0.000 0.000
# - M_tot (μB/f.u.) = 0.00

---

<two>
# Pr3PbC, relaxed, DFT PBE-GGA
data_Pr3PbC
_chemical_formula_sum 'Pr3 Pb1 C1'
_space_group_name_H-M_alt 'P m -3 m'
_space_group_IT_number 221
_space_group_name_Hall '-P 4 2 3'
_cell_length_a 5.936
_cell_length_b 5.936
_cell_length_c 5.936
_cell_angle_alpha 90.00
_cell_angle_beta 90.00
_cell_angle_gamma 90.00
loop_
_atom_site_label
_atom_site_fract_x
_atom_site_fract_y
_atom_site_fract_z
Pr1 0.000 0.000 0.500
Pb1 0.000 0.000 0.000
C1 0.500 0.500 0.500
# - M_tot (μB/f.u.) = 0.00

---

If we sort the structures by their calculated energies, the order from most to least stable is <one>, <two>.